# 1
PBE InPdBr3, optimized geometry; formation energy (no corrections) = -39.4 kJ/mol of atoms; space group = Pm-3m (221); ΔE to the lowest computed polymorph = 0 meV/atom
1.0
5.223 0.000 0.000
0.000 5.223 0.000
0.000 0.000 5.223
In Pd Br
1 1 3
Direct
0.000 0.000 0.000 In
0.500 0.500 0.500 Pd
0.000 0.500 0.500 Br
0.500 0.000 0.500 Br
0.500 0.500 0.000 Br

=====

# 2
PBE InPdBr2, optimized geometry; formation energy (no corrections) = -1.6 kJ/mol of atoms; space group = Fm-3m (225); ΔE to the lowest computed polymorph = 161 meV/atom
1.0
0.000 3.620 3.620
3.620 0.000 3.620
3.620 3.620 0.000
In Pd Br
1 1 2
Direct
0.000 0.000 0.000 In
0.500 0.500 0.500 Pd
0.250 0.250 0.250 Br
0.750 0.750 0.750 Br

=====

# 3
PBE In2PdBr, optimized geometry; formation energy (no corrections) = -21.8 kJ/mol of atoms; space group = I-42d (122); ΔE to the lowest computed polymorph = 0 meV/atom
1.0
-3.270 3.270 6.610
3.270 -3.270 6.610
3.270 3.270 -6.610
In Pd Br
4 2 2
Direct
0.058 0.625 0.933 In
0.375 0.308 0.433 In
0.692 0.125 0.067 In
0.875 0.942 0.567 In
0.000 0.000 0.000 Pd
0.750 0.250 0.500 Pd
0.250 0.750 0.500 Br
0.500 0.500 0.000 Br

=====

# 4
PBE Rb2InPdBr6, optimized geometry; formation energy (no corrections) = -98.8 kJ/mol of atoms; space group = I4/mmm (139)
1.0
-3.855 3.855 5.507
3.855 -3.855 5.507
3.855 3.855 -5.507
Rb In Pd Br
2 1 1 6
Direct
0.250 0.750 0.500 Rb
0.750 0.250 0.500 Rb
0.000 0.000 0.000 In
0.500 0.500 0.000 Pd
0.248 0.248 0.000 Br
0.258 0.258 0.517 Br
0.258 0.742 0.000 Br
0.742 0.258 0.000 Br
0.742 0.742 0.483 Br
0.752 0.752 0.000 Br

=====

# 5
PBE ScIn2PdBr, optimized geometry; formation energy (no corrections) = 32.6 kJ/mol of atoms; space group = P4/mmm (123)
1.0
5.729 0.000 0.000
0.000 5.729 0.000
0.000 0.000 4.984
Sc In Pd Br
1 2 1 1
Direct
0.000 0.000 0.000 Sc
0.000 0.500 0.000 In
0.500 0.000 0.000 In
0.500 0.500 0.500 Pd
0.000 0.000 0.500 Br

=====

# 6
PBE InPdSe2Br, optimized geometry; formation energy (no corrections) = 1.9 kJ/mol of atoms; space group = P4/mmm (123); ΔE to the lowest computed polymorph = 0 meV/atom
1.0
5.007 0.000 0.000
0.000 5.007 0.000
0.000 0.000 5.264
In Pd Se Br
1 1 2 1
Direct
0.000 0.000 0.000 In
0.500 0.500 0.500 Pd
0.000 0.500 0.500 Se
0.500 0.000 0.500 Se
0.500 0.500 0.000 Br

=====

# 7
PBE InPdSeBr2, optimized geometry; formation energy (no corrections) = -16.9 kJ/mol of atoms; space group = P4/mmm (123); ΔE to the lowest computed polymorph = 0 meV/atom
1.0
5.325 0.000 0.000
0.000 5.325 0.000
0.000 0.000 4.945
In Pd Se Br
1 1 1 2
Direct
0.000 0.000 0.000 In
0.500 0.500 0.500 Pd
0.500 0.500 0.000 Se
0.000 0.500 0.500 Br
0.500 0.000 0.500 Br

=====

# 8
PBE TlIn2PdBr, optimized geometry; formation energy (no corrections) = -38.7 kJ/mol of atoms; space group = P4/mmm (123)
1.0
5.252 0.000 0.000
0.000 5.252 0.000
0.000 0.000 5.402
Tl In Pd Br
1 2 1 1
Direct
0.000 0.000 0.000 Tl
0.000 0.500 0.500 In
0.500 0.000 0.500 In
0.000 0.000 0.500 Pd
0.500 0.500 0.000 Br